Entry 1:
CrRh3Au at its PBEsol-relaxed geometry, computed with SCAN.

The total energy comes out at -184.34 eV for the cell shown. As for the density of states at the Fermi level: 0.63 states/eV per atom. The value obtained for the formation energy from the elements is 0.90 eV/atom. The calculation puts the total moment at 0.00 μB per formula unit. The calculation puts the density at 11.2 g/cm3.

The space group is Pm-3m (No. 221) and the conventional cell measures 4.3528, 4.3528 and 4.3528 Å, with angles of 90.00, 90.00 and 90.00 degrees. Symmetry generates all atoms from Cr at (0.0000, 0.0000, 0.0000), Rh at (0.0000, 0.0000, 0.5000) and Au at (0.5000, 0.5000, 0.5000).

***

Entry 2:
Y3BrF at its PBEsol-relaxed geometry, computed with SCAN.

The total energy comes out at -110.28 eV for the cell shown. As for the density of states at the Fermi level: 0.97 states/eV per atom. The value obtained for the formation energy without anion corrections is -0.750 eV/atom. The calculation puts the total moment at 0.00 μB per formula unit. The calculation puts the density at 5.4 g/cm3.

The space group is Pm-3m (No. 221) and the conventional cell measures 4.8376, 4.8376 and 4.8376 Å, with angles of 90.00, 90.00 and 90.00 degrees. Symmetry generates all atoms from Y at (0.0000, 0.0000, 0.5000), Br at (0.5000, 0.5000, 0.5000) and F at (0.0000, 0.0000, 0.0000).

***

Entry 3:
Y2HgBi at its PBEsol-relaxed geometry, computed with SCAN.

The total energy comes out at -820.68 eV for the cell shown. As for the density of states at the Fermi level: 0.74 states/eV per atom. The value obtained for the formation energy from the elements is -0.68 eV/atom. The calculation puts the total moment at 0.00 μB per formula unit. The calculation puts the density at 9.4 g/cm3.

The space group is Fm-3m (No. 225) and the conventional cell measures 7.4723, 7.4723 and 7.4723 Å, with angles of 90.00, 90.00 and 90.00 degrees. Symmetry generates all atoms from Y at (0.2500, 0.2500, 0.2500), Hg at (0.0000, 0.0000, 0.0000) and Bi at (0.0000, 0.0000, 0.5000).

***

Entry 4:
Ce6P17Pd6 at its PBEsol-relaxed geometry, computed with SCAN.

The total energy comes out at -1335.18 eV for the cell shown. As for the density of states at the Fermi level: 0.53 states/eV per atom. The value obtained for the formation energy from the elements is -0.92 eV/atom. The calculation puts the total moment at 6.20 μB per formula unit. The calculation puts the density at 6.5 g/cm3.

The space group is I-43m (No. 217) and the conventional cell measures 10.0999, 10.0999 and 10.0999 Å, with angles of 90.00, 90.00 and 90.00 degrees. Symmetry generates all atoms from Ce at (0.0000, 0.0000, 0.2845), P at (0.0000, 0.0000, 0.0000), P at (0.0768, 0.2861, 0.2861), P at (0.2022, 0.2022, 0.7978) and Pd at (0.0000, 0.2500, 0.5000).